(1)
Here is an optimized crystal structure of TiTc4Mo2 from Alexandria via LeMat-Bulk. Energies are from PBE.

Summary:
Crystal system ... orthorhombic

Cell: 6.138 8.656 4.306 Å, 90.00 90.00 90.00°
Element x y z (fractional)
Ti (0.000, 0.000, 0.000)
Ti (0.500, 0.500, 0.000)
Tc (0.247, 0.500, 0.500)
Tc (0.250, 0.250, 0.000)
Tc (0.250, 0.750, 0.000)
Tc (0.253, 0.000, 0.500)
Tc (0.747, 0.000, 0.500)
Tc (0.750, 0.250, 0.000)
Tc (0.750, 0.750, 0.000)
Tc (0.753, 0.500, 0.500)
Mo (0.000, 0.256, 0.500)
Mo (0.000, 0.744, 0.500)
Mo (0.500, 0.244, 0.500)
Mo (0.500, 0.756, 0.500)



(2)
Here is an optimized crystal structure of Ti3TcMo3 from Alexandria via LeMat-Bulk. Energies are from PBE.

Summary:
Crystal system ... monoclinic

Cell: 5.383 5.383 8.266 Å, 91.93 91.93 106.36°
Element x y z (fractional)
Ti (0.183, 0.817, 0.000)
Ti (0.241, 0.759, 0.500)
Ti (0.345, 0.345, 0.892)
Ti (0.655, 0.655, 0.108)
Ti (0.759, 0.241, 0.500)
Ti (0.817, 0.183, 0.000)
Tc (0.311, 0.311, 0.564)
Tc (0.689, 0.689, 0.436)
Mo (0.032, 0.032, 0.301)
Mo (0.124, 0.497, 0.227)
Mo (0.497, 0.124, 0.227)
Mo (0.503, 0.876, 0.773)
Mo (0.876, 0.503, 0.773)
Mo (0.968, 0.968, 0.699)



no.,total energy (eV/f.u.),energy of formation (eV/atom)
1,-69.35,0.24
2,-65.41,0.16